A plane-wave DFT calculation with PBE-GGA was carried out for a geometry-optimized Cu2Ge structure.

As for the crystal system: cubic. Its calculated total energy is -93.398 eV for the cell shown.

The space group is Fd-3m (No. 227, origin choice 2) and the conventional cell measures 6.9735, 6.9735 and 6.9735 Å, with angles of 90.00, 90.00 and 90.00 degrees. The distinct sites, in fractional coordinates, are Cu at (0.0000, 0.0000, 0.0000) and Ge at (0.1250, 0.1250, 0.6250).